The following is a DFT calculation (PBE) of a geometry-optimized ErPbN structure.

The formation energy from raw total energies comes out at -6.5 kcal/mol of atoms.

abc: 4.8251 4.8251 7.0397
angles: 69.96 69.96 60.00
Closest atoms and distances in Å follow each position.
Positions (direct):
Er (0.6118, 0.6118, 0.1645)  1 N 2.09
N (0.7198, 0.7198, 0.8406)  1 Er 2.09
Pb (0.1543, 0.1543, 0.5370)  1 N 2.44
Er (0.3882, 0.3882, 0.8355)  1 N 2.09
N (0.2802, 0.2802, 0.1594)  1 Er 2.09
Pb (0.8456, 0.8456, 0.4630)  1 N 2.44

=====

The following is a DFT calculation (PBE) of a geometry-optimized Er3Pb2N structure.

The formation energy from raw total energies comes out at -14.8 kcal/mol of atoms.

abc: 3.3995 5.8932 8.1413
angles: 111.22 90.00 90.00
Closest atoms and distances in Å follow each position.
Positions (direct):
Er (0.5000, 0.8979, 0.7957)  2 N 2.30
Er (0.0000, 0.5000, 0.0000)  2 N 2.95, 4 Pb 3.27
Pb (0.5000, 0.6842, 0.3683)  5 Er 3.20-3.27, 4 Pb 3.40-3.56
N (0.0000, 0.0000, 0.0000)  4 Er 2.30
Er (0.5000, 0.1021, 0.2043)  2 N 2.30
Pb (0.5000, 0.3158, 0.6317)  5 Er 3.20-3.27, 4 Pb 3.40-3.56

=====

The following is a DFT calculation (PBE) of a geometry-optimized Er3PbN2 structure.

The formation energy from raw total energies comes out at -28.7 kcal/mol of atoms.

abc: 4.5643 4.5690 11.4226
angles: 90.00 90.00 90.00
Closest atoms and distances in Å follow each position.
Positions (direct):
N (0.2500, 0.7500, 0.9510)  5 Er 2.30-2.35
Er (0.2500, 0.2500, 0.5002)  4 N 2.35
Er (0.2500, 0.7501, 0.7500)  2 N 2.30
Er (0.7500, 0.2499, 0.2500)  2 N 2.30
Er (0.7500, 0.7500, 0.0002)  4 N 2.35
N (0.2500, 0.7500, 0.5490)  5 Er 2.30-2.35
N (0.7500, 0.2500, 0.0490)  5 Er 2.30-2.35
Er (0.2500, 0.2500, 0.9998)  4 N 2.35
Pb (0.7500, 0.2501, 0.7500)  4 Er 3.23, 2 N 3.42
N (0.7500, 0.2500, 0.4510)  5 Er 2.30-2.35
Pb (0.2500, 0.7499, 0.2500)  4 Er 3.23, 2 N 3.42
Er (0.7500, 0.7500, 0.4998)  4 N 2.35

=====

Look up the formation energy from raw total energies of the first one. -6.5 kcal/mol of atoms

=====

What is the formation energy from raw total energies in the first record? -6.5 kcal/mol of atoms

=====

Which value of formation energy from raw total energies does entry 2 give? -14.8 kcal/mol of atoms

=====

The highest formation energy from raw total energies belongs to which entry? ErPbN